No. 1
First-principles (PBE) data for a geometry-optimized NpPtW structure, as listed in OQMD.

**Energy of formation from the pure elements**: 0.80 eV per atom
**E**: -9.7954 eV per atom
**SG**: No. 216
**Volume**: 21.06 A^3/atom

Cell lengths 4.470, 4.470, 4.470 Å; angles 60.00, 60.00, 60.00 degrees
Fractional positions:
Pt  0.250  0.250  0.250
W  0.750  0.750  0.750
Np  0.000  0.000  0.000


No. 2
First-principles (PBE) data for a geometry-optimized MgCdTeO structure, as listed in OQMD.

**E**: -3.0882 eV per atom
**SG**: No. 129
**Volume**: 23.40 A^3/atom

Cell lengths 4.017, 4.017, 11.603 Å; angles 90.00, 90.00, 90.00 degrees
Fractional positions:
Mg  0.250  0.250  0.917
Mg  0.750  0.750  0.083
O  0.250  0.250  0.080
O  0.750  0.750  0.920
Te  0.750  0.250  0.500
Te  0.250  0.750  0.500
Cd  0.750  0.750  0.731
Cd  0.250  0.250  0.269